A plane-wave DFT calculation with PBE was carried out for crystalline CaHo4Tl7 at its relaxed geometry.

a = 13.7237 Å, b = 5.6251 Å, c = 11.4101 Å
α = 90.00°, β = 124.56°, γ = 90.00°
Space group C2/m (No. 12)
Unique sites:
Ca1 0.0000 0.0000 0.0000 (multiplicity 2)
Ho1 0.0848 0.5000 0.7871 (multiplicity 4)
Ho2 0.2141 0.5000 0.3305 (multiplicity 4)
Tl1 0.0000 0.5000 0.0000 (multiplicity 2)
Tl2 0.0770 0.0000 0.3300 (multiplicity 4)
Tl3 0.1347 0.5000 0.5506 (multiplicity 4)
Tl4 0.2177 0.0000 0.8883 (multiplicity 4)

energy: -76.8 eV for the cell shown
DOS(E_F): 13.97 states/eV per cell
V: 30.23 Å³/atom



A plane-wave DFT calculation with PBE was carried out for crystalline Ca4HoTl5 at its relaxed geometry.

a = 3.8701 Å, b = 3.8701 Å, c = 19.2650 Å
α = 90.00°, β = 90.00°, γ = 90.00°
Space group P4/mmm (No. 123)
Unique sites:
Ca1 0.0000 0.0000 0.1015 (multiplicity 2)
Ca2 0.0000 0.0000 0.3020 (multiplicity 2)
Ho1 0.0000 0.0000 0.5000 (multiplicity 1)
Tl1 0.5000 0.5000 0.0000 (multiplicity 1)
Tl2 0.5000 0.5000 0.2015 (multiplicity 2)
Tl3 0.5000 0.5000 0.4048 (multiplicity 2)

energy: -28.6 eV for the cell shown
DOS(E_F): 5.93 states/eV per cell
V: 28.85 Å³/atom



A plane-wave DFT calculation with PBE was carried out for crystalline CaHoTl2 at its relaxed geometry.

a = 3.7543 Å, b = 3.7543 Å, c = 29.7492 Å
α = 90.00°, β = 90.00°, γ = 120.00°
Space group R3m (No. 160, hexagonal axes)
Unique sites:
Ca1 0.0000 0.0000 0.0000 (multiplicity 3)
Ho1 0.0000 0.0000 0.8317 (multiplicity 3)
Tl1 0.0000 0.0000 0.2481 (multiplicity 3)
Tl2 0.0000 0.0000 0.4175 (multiplicity 3)

energy: -36.8 eV for the cell shown
DOS(E_F): 11.60 states/eV per cell
V: 30.26 Å³/atom



A plane-wave DFT calculation with PBE was carried out for crystalline Ca3HoTl2 at its relaxed geometry.

a = 5.3071 Å, b = 9.8055 Å, c = 7.1315 Å
α = 90.00°, β = 90.00°, γ = 90.00°
Space group Pmc2_1 (No. 26)
Unique sites:
Ca1 0.0000 0.0524 0.0000 (multiplicity 2)
Ca2 0.0000 0.3161 0.3599 (multiplicity 2)
Ca3 0.5000 0.1814 0.7047 (multiplicity 2)
Ho1 0.5000 0.4504 0.0593 (multiplicity 2)
Tl1 0.0000 0.3662 0.8141 (multiplicity 2)
Tl2 0.5000 0.1494 0.2461 (multiplicity 2)

energy: -34.4 eV for the cell shown
DOS(E_F): 11.39 states/eV per cell
V: 30.93 Å³/atom



A plane-wave DFT calculation with PBE was carried out for crystalline Ca2HoTl at its relaxed geometry.

a = 4.8515 Å, b = 4.8515 Å, c = 5.2234 Å
α = 90.00°, β = 90.00°, γ = 90.00°
Space group P4/mmm (No. 123)
Unique sites:
Ca1 0.0000 0.5000 0.0000 (multiplicity 2)
Ho1 0.0000 0.0000 0.5000 (multiplicity 1)
Tl1 0.5000 0.5000 0.5000 (multiplicity 1)

energy: -11.6 eV for the cell shown
DOS(E_F): 1.16 states/eV per cell
V: 30.74 Å³/atom



A plane-wave DFT calculation with PBE was carried out for crystalline CaHo2Tl2 at its relaxed geometry.

a = 5.2697 Å, b = 6.7079 Å, c = 9.1180 Å
α = 102.82°, β = 90.12°, γ = 112.96°
Space group P-1 (No. 2)
Unique sites:
Ca1 0.0720 0.1421 0.3577 (multiplicity 2)
Ho1 0.2521 0.5048 0.7544 (multiplicity 2)
Ho2 0.4346 0.8681 0.1433 (multiplicity 2)
Tl1 0.1342 0.2690 0.0421 (multiplicity 2)
Tl2 0.3619 0.7268 0.4519 (multiplicity 2)

energy: -34.5 eV for the cell shown
DOS(E_F): 7.61 states/eV per cell
V: 28.80 Å³/atom



A plane-wave DFT calculation with PBE was carried out for crystalline CaHoTl2 at its relaxed geometry.

a = 3.7532 Å, b = 3.7532 Å, c = 29.6234 Å
α = 90.00°, β = 90.00°, γ = 120.00°
Space group R-3m (No. 166, hexagonal axes)
Unique sites:
Ca1 0.0000 0.0000 0.0000 (multiplicity 3)
Ho1 0.0000 0.0000 0.5000 (multiplicity 3)
Tl1 0.0000 0.0000 0.2487 (multiplicity 6)

energy: -37.1 eV for the cell shown
DOS(E_F): 10.32 states/eV per cell
V: 30.12 Å³/atom



A plane-wave DFT calculation with PBE was carried out for crystalline Ca5HoTl6 at its relaxed geometry.

a = 17.1362 Å, b = 7.8189 Å, c = 5.4468 Å
α = 90.00°, β = 108.00°, γ = 90.00°
Space group C2/m (No. 12)
Unique sites:
Ca1 0.0000 0.0000 0.0000 (multiplicity 2)
Ca2 0.1653 0.0000 0.6649 (multiplicity 4)
Ca3 0.1714 0.5000 0.6712 (multiplicity 4)
Ho1 0.0000 0.5000 0.0000 (multiplicity 2)
Tl1 0.0000 0.2585 0.5000 (multiplicity 4)
Tl2 0.1639 0.2553 0.1638 (multiplicity 8)

energy: -67.7 eV for the cell shown
DOS(E_F): 14.61 states/eV per cell
V: 28.92 Å³/atom